Computed, not measured: a geometry-optimized Sr2P structure at the PBE level of DFT.

Calculated values
Its final energy is -3.76 eV/atom. The energy of formation comes out at -2.495 eV/f.u. The calculation puts the total magnetization at 0.8 μB/f.u. For the density of states at the Fermi level, the calculation gives 0.566 states/eV per atom.

```
data_Sr2P
_chemical_formula_sum 'Sr8 P4'
_cell_length_a 6.0693
_cell_length_b 6.0693
_cell_length_c 13.2697
_cell_angle_alpha 90.00
_cell_angle_beta 90.00
_cell_angle_gamma 90.00
_space_group_name_H-M_alt 'I 41/a m d'
_space_group_IT_number 141
loop_
_space_group_symop_operation_xyz
'x,y,z'
'-x,-y,-z'
'-y+1/4,x+3/4,z+1/4'
'y+1/4,-x+3/4,-z+1/4'
'-x+1/2,-y,z+1/2'
'x+1/2,y,-z+1/2'
'y+1/4,-x+1/4,z+3/4'
'-y+1/4,x+1/4,-z+3/4'
'x,-y,-z'
'-x,y,z'
'-y+1/4,-x+1/4,-z+3/4'
'y+1/4,x+1/4,z+3/4'
'-x+1/2,y,-z+1/2'
'x+1/2,-y,z+1/2'
'y+1/4,x+3/4,-z+1/4'
'-y+1/4,-x+3/4,z+1/4'
'x+1/2,y+1/2,z+1/2'
'-x+1/2,-y+1/2,-z+1/2'
'-y+3/4,x+1/4,z+3/4'
'y+3/4,-x+1/4,-z+3/4'
'-x,-y+1/2,z'
'x,y+1/2,-z'
'y+3/4,-x+3/4,z+1/4'
'-y+3/4,x+3/4,-z+1/4'
'x+1/2,-y+1/2,-z+1/2'
'-x+1/2,y+1/2,z+1/2'
'-y+3/4,-x+3/4,-z+1/4'
'y+3/4,x+3/4,z+1/4'
'-x,y+1/2,-z'
'x,-y+1/2,z'
'y+3/4,x+1/4,-z+3/4'
'-y+3/4,-x+1/4,z+3/4'
loop_
_atom_site_label
_atom_site_fract_x
_atom_site_fract_y
_atom_site_fract_z
Sr1 0.0000 0.2500 0.1017
P1 0.0000 0.2500 0.8750
```



Computed, not measured: a geometry-optimized SmDy5Sc4 structure at the PBE level of DFT.

Calculated values
Its final energy is -5.14 eV/atom. The energy of formation comes out at 1.667 eV/f.u. The calculation puts the total magnetization at 0.0 μB/f.u. For the distance to the lowest polymorph of the same formula, the calculation gives 0.0 meV/atom. For the density of states at the Fermi level, the calculation gives 1.327 states/eV per atom.

```
data_SmDy5Sc4
_chemical_formula_sum 'Sm2 Dy10 Sc8'
_cell_length_a 8.8196
_cell_length_b 8.8196
_cell_length_c 7.6206
_cell_angle_alpha 90.00
_cell_angle_beta 90.00
_cell_angle_gamma 90.00
_space_group_name_H-M_alt 'P 4/n m m'
_space_group_IT_number 129
loop_
_space_group_symop_operation_xyz
'x,y,z'
'-x,-y,-z'
'-y+1/2,x,z'
'y+1/2,-x,-z'
'-x+1/2,-y+1/2,z'
'x+1/2,y+1/2,-z'
'y,-x+1/2,z'
'-y,x+1/2,-z'
'x+1/2,-y,-z'
'-x+1/2,y,z'
'-y,-x,-z'
'y,x,z'
'-x,y+1/2,-z'
'x,-y+1/2,z'
'y+1/2,x+1/2,-z'
'-y+1/2,-x+1/2,z'
loop_
_atom_site_label
_atom_site_fract_x
_atom_site_fract_y
_atom_site_fract_z
Sm1 0.2500 0.2500 0.1238
Dy1 0.0592 0.0592 0.7989
Dy2 0.2500 0.7500 0.0000
Sc1 0.0208 0.7500 0.5884
```



Computed, not measured: a geometry-optimized LaPr7Sc4 structure at the PBE level of DFT.

Calculated values
Its final energy is -5.19 eV/atom. The energy of formation comes out at 1.402 eV/f.u. The calculation puts the total magnetization at 0.0 μB/f.u. For the density of states at the Fermi level, the calculation gives 1.527 states/eV per atom.

```
data_LaPr7Sc4
_chemical_formula_sum 'La1 Pr7 Sc4'
_cell_length_a 6.5722
_cell_length_b 6.6424
_cell_length_c 9.2119
_cell_angle_alpha 91.99
_cell_angle_beta 103.57
_cell_angle_gamma 94.88
_space_group_name_H-M_alt 'P -1'
_space_group_IT_number 2
loop_
_space_group_symop_operation_xyz
'x,y,z'
'-x,-y,-z'
loop_
_atom_site_label
_atom_site_fract_x
_atom_site_fract_y
_atom_site_fract_z
La1 0.0000 0.0000 0.0000
Pr1 0.0000 0.5000 0.0000
Pr2 0.1943 0.8641 0.5965
Pr3 0.3012 0.3321 0.3745
Pr4 0.4848 0.7396 0.9403
Sc1 0.1573 0.3560 0.7081
Sc2 0.3738 0.8213 0.2796
```